No. 1
VASP calculation (PBE-GGA) on NiAs2Rh after structural relaxation.

a = 5.429 Å, b = 5.429 Å, c = 6.595 Å
α = 65.69°, β = 65.69°, γ = 90.00°
Fractional positions:
Ni1 0.500 0.500 0.000
Ni2 0.250 0.750 0.500
As1 0.611 0.125 0.250
As2 0.139 0.625 0.250
As3 0.375 0.389 0.750
As4 0.875 0.861 0.750
Rh1 0.000 0.000 0.000
Rh2 0.750 0.250 0.500

Output
Energy of formation from the pure elements, eV per atom: -0.074
Total magnetic moment, μB per atom: 0.000
Space-group type: I-42d
DOS at the Fermi energy, states/eV per cell: 5.91



No. 2
VASP calculation (PBE-GGA) on YbAgPd2 after structural relaxation.

a = 4.729 Å, b = 4.729 Å, c = 4.729 Å
α = 60.00°, β = 60.00°, γ = 60.00°
Each line ends with the local moment (μB).
Fractional positions:
Yb1 0.000 0.000 0.000  0.27
Pd1 0.250 0.250 0.250  0.00
Pd2 0.750 0.750 0.750  0.00
Ag1 0.500 0.500 0.500  0.00

Output
Energy of formation from the pure elements, eV per atom: -0.494
Total magnetic moment, μB per atom: 0.063
Space-group type: Fm-3m
DOS at the Fermi energy, states/eV per cell: 15.09